# 1
First-principles (PBE) data for an optimized crystal structure of Ce4Zn3Hg, as listed in Alexandria via LeMat-Bulk.

a b c (Å): 10.161 6.398 5.540
angles (deg): 90.00 90.00 90.00
Space group Pmma (No. 51)
Symmetry-distinct sites (fractional):
Ce (0.000, 0.223, 0.000) [4 per cell]
Ce (0.250, 0.222, 0.305) [4 per cell]
Zn (0.000, 0.000, 0.500) [2 per cell]
Zn (0.250, 0.000, 0.799) [2 per cell]
Zn (0.250, 0.500, 0.816) [2 per cell]
Hg (0.000, 0.500, 0.500) [2 per cell]

- electronic total energy (eV for the cell shown) = -59.2

=====

# 2
First-principles (PBE) data for an optimized crystal structure of LaScZn, as listed in Alexandria via LeMat-Bulk.

a b c (Å): 5.154 5.173 7.343
angles (deg): 69.68 69.57 60.29
Space group P-1 (No. 2)
Symmetry-distinct sites (fractional):
La (0.117, 0.119, 0.147) [2 per cell]
Sc (0.302, 0.301, 0.595) [2 per cell]
Zn (0.435, 0.439, 0.194) [2 per cell]

- energy above the most stable polymorph in this dataset (meV per atom) = 83

=====

# 3
First-principles (PBE) data for an optimized crystal structure of ThMgZn2Cu2, as listed in Alexandria via LeMat-Bulk.

a b c (Å): 4.3383 4.3383 6.7686
angles (deg): 90.00 90.00 120.00
Space group P-3m1 (No. 164)
Symmetry-distinct sites (fractional):
Th (0.0000, 0.0000, 0.0000) [1 per cell]
Mg (0.0000, 0.0000, 0.5000) [1 per cell]
Zn (0.3333, 0.6667, 0.2969) [2 per cell]
Cu (0.3333, 0.6667, 0.7186) [2 per cell]

- electronic total energy (eV for the cell shown) = -20.9

=====

# 4
First-principles (PBE) data for an optimized crystal structure of K2BaRe, as listed in Alexandria via LeMat-Bulk.

a b c (Å): 8.943 3.594 11.691
angles (deg): 90.00 93.78 90.00
Space group Cm (No. 8)
Symmetry-distinct sites (fractional):
K (0.000, 0.000, 0.000) [2 per cell]
K (0.227, 0.000, 0.660) [2 per cell]
Ba (0.457, 0.000, 0.338) [2 per cell]
Re (0.233, 0.500, 0.194) [2 per cell]

- energy above the most stable polymorph in this dataset (meV per atom) = 103

=====

# 5
First-principles (PBE) data for an optimized crystal structure of Mn3Cd5Cl16, as listed in Alexandria via LeMat-Bulk.

a b c (Å): 13.261 7.620 12.186
angles (deg): 90.00 90.68 90.00
Space group Cm (No. 8)
Symmetry-distinct sites (fractional):
Mn (0.000, 0.000, 0.000) [2 per cell]
Mn (0.416, 0.247, 0.498) [4 per cell]
Cd (0.162, 0.000, 0.268) [2 per cell]
Cd (0.163, 0.500, 0.499) [2 per cell]
Cd (0.247, 0.247, 0.999) [4 per cell]
Cd (0.495, 0.000, 0.765) [2 per cell]
Cl (0.071, 0.262, 0.623) [4 per cell]
Cl (0.082, 0.231, 0.124) [4 per cell]
Cl (0.156, 0.000, 0.880) [2 per cell]
Cl (0.170, 0.500, 0.874) [2 per cell]
Cl (0.254, 0.253, 0.381) [4 per cell]
Cl (0.321, 0.000, 0.130) [2 per cell]
Cl (0.338, 0.500, 0.110) [2 per cell]
Cl (0.339, 0.500, 0.606) [2 per cell]
Cl (0.343, 0.000, 0.618) [2 per cell]
Cl (0.417, 0.258, 0.882) [4 per cell]
Cl (0.490, 0.000, 0.383) [2 per cell]
Cl (0.494, 0.500, 0.386) [2 per cell]

- raw formation energy (eV/atom) = -1.071

=====

# 6
First-principles (PBE) data for an optimized crystal structure of NiHgAs, as listed in Alexandria via LeMat-Bulk.

a b c (Å): 6.424 6.012 6.735
angles (deg): 90.00 118.56 90.00
Space group P2_1/c (No. 14)
Symmetry-distinct sites (fractional):
Ni (0.187, 0.038, 0.477) [4 per cell]
Hg (0.356, 0.629, 0.710) [4 per cell]
As (0.157, 0.120, 0.800) [4 per cell]

- energy above the most stable polymorph in this dataset (meV per atom) = 13

=====

In the order shown, the computed V values come out to 22.51, 25.94, 18.39, 46.87, 25.65, 19.04 Å³/atom.